Record 1
! Dy3CdPd12, relaxed, DFT GGA-PBE; values from VASP
&SYSTEM
  ibrav = 0, nat = 16, ntyp = 3
/
ATOMIC_SPECIES
Dy 162.50 Dy.upf
Cd 112.41 Cd.upf
Pd 106.42 Pd.upf
ATOMIC_POSITIONS crystal
Dy 0.0000 0.0000 0.0000
Dy 0.0000 0.0000 0.2534
Dy 0.0000 0.0000 0.7466
Cd 0.0000 0.0000 0.5000
Pd 0.0000 0.5000 0.1261
Pd 0.0000 0.5000 0.3782
Pd 0.0000 0.5000 0.6218
Pd 0.0000 0.5000 0.8739
Pd 0.5000 0.0000 0.1261
Pd 0.5000 0.0000 0.3782
Pd 0.5000 0.0000 0.6218
Pd 0.5000 0.0000 0.8739
Pd 0.5000 0.5000 0.0000
Pd 0.5000 0.5000 0.2516
Pd 0.5000 0.5000 0.5000
Pd 0.5000 0.5000 0.7484
CELL_PARAMETERS angstrom
4.0957 0.0000 0.0000
0.0000 4.0957 0.0000
0.0000 0.0000 16.4308
! Symmetry = No. 123
! Energy of formation = -715 meV/atom
! Fermi-level density of states = 15.331 states/eV/cell

=====

Record 2
! CoCl, relaxed, DFT GGA-PBE; values from VASP
&SYSTEM
  ibrav = 0, nat = 4, ntyp = 2
/
ATOMIC_SPECIES
Co 58.93 Co.upf
Cl 35.45 Cl.upf
ATOMIC_POSITIONS crystal
Co 0.1250 0.1250 0.1250
Co 0.8750 0.8750 0.8750
Cl 0.3750 0.3750 0.3750
Cl 0.6250 0.6250 0.6250
CELL_PARAMETERS angstrom
0.0000 3.1612 3.1612
3.1612 0.0000 3.1612
3.1612 3.1612 0.0000
! Symmetry = No. 227
! Formation energy (no corrections) = 0.80 eV/atom
! Fermi-level density of states = 5.913 states/eV/cell

=====

Record 3
! ZrIn2Cl2F4, relaxed, DFT GGA-PBE; values from VASP
&SYSTEM
  ibrav = 0, nat = 9, ntyp = 4
/
ATOMIC_SPECIES
Zr 91.22 Zr.upf
In 114.82 In.upf
Cl 35.45 Cl.upf
F 19.00 F.upf
ATOMIC_POSITIONS crystal
Zr 0.0000 0.0000 0.0000
In 0.3574 0.3574 0.4336
In 0.6426 0.6426 0.5664
Cl 0.1775 0.1775 0.8482
Cl 0.8225 0.8225 0.1518
F 0.1986 0.7146 0.7511
F 0.2854 0.8014 0.2489
F 0.7146 0.1986 0.7511
F 0.8014 0.2854 0.2489
CELL_PARAMETERS angstrom
6.5254 -3.0164 0.0000
6.5254 3.0164 0.0000
-0.4569 0.0000 5.4063
! Symmetry = No. 12
! Formation energy (no corrections) = -2.34 eV/atom
! Fermi-level density of states = 0.000 states/eV/cell